Entry 1:
GePN2: optimized geometry, PBE.

The final energy is -6.5685 eV/atom. The magnetization is 0.00 μB/cell. The excess energy over the best structure of this formula in the dataset comes out at 0.00 kJ per mole of atoms.

It has space group R-3m (No. 166, hexagonal axes), with a = 2.7365 Å, b = 2.7365 Å, c = 19.1131 Å, α = 90.00°, β = 90.00° and γ = 120.00°. The inequivalent atoms are Ge at (0.0000, 0.0000, 0.0000), P at (0.0000, 0.0000, 0.5000) and N at (0.0000, 0.0000, 0.1176).

---

Entry 2:
YTa2TcIr: optimized geometry, PBE.

The final energy is -7.3562 eV/atom. The magnetization is 1.64 μB/cell. As for the energy of formation from the pure elements: 2.523 eV/atom.

It has space group P4/mmm (No. 123), with a = 4.838 Å, b = 4.838 Å, c = 4.778 Å, α = 90.00°, β = 90.00° and γ = 90.00°. The inequivalent atoms are Y at (0.000, 0.000, 0.000), Ta at (0.000, 0.500, 0.000), Tc at (0.500, 0.500, 0.500) and Ir at (0.000, 0.000, 0.500).